(1)
A plane-wave DFT calculation with GGA-PBE was carried out for crystalline LiTiNbRe at its relaxed geometry.

**E_tot**: -32.62 eV per cell
**E_form**: -72 meV/atom
**Space group**: F-43m (216)

Lattice parameters (Å, degrees): 4.4575 4.4575 4.4575 60.00 60.00 60.00
With the nearest neighbours (Å) after each atom.
Element x y z (fractional)
Re (0.5000, 0.5000, 0.5000)  4 Nb 2.73, 4 Ti 2.73
Nb (0.7500, 0.7500, 0.7500)  4 Re 2.73, 4 Li 2.73
Li (0.0000, 0.0000, 0.0000)  4 Ti 2.73, 4 Nb 2.73
Ti (0.2500, 0.2500, 0.2500)  4 Li 2.73, 4 Re 2.73

---

(2)
A plane-wave DFT calculation with GGA-PBE was carried out for crystalline LiTmNbRe at its relaxed geometry.

**E_tot**: -28.69 eV per cell
**E_form**: 53 meV/atom
**Space group**: F-43m (216)

Lattice parameters (Å, degrees): 4.6626 4.6626 4.6626 60.00 60.00 60.00
With the nearest neighbours (Å) after each atom.
Element x y z (fractional)
Re (0.7500, 0.7500, 0.7500)  4 Nb 2.86, 4 Tm 2.86
Nb (0.5000, 0.5000, 0.5000)  4 Re 2.86, 4 Li 2.86
Tm (0.0000, 0.0000, 0.0000)  4 Re 2.86, 4 Li 2.86
Li (0.2500, 0.2500, 0.2500)  4 Nb 2.86, 4 Tm 2.86

---

(3)
A plane-wave DFT calculation with GGA-PBE was carried out for crystalline LiNbVRe2 at its relaxed geometry.

**E_tot**: -35.98 eV per cell
**E_form**: 2004 meV/atom
**Space group**: P4/mmm (123)

Lattice parameters (Å, degrees): 4.7079 4.2958 4.7079 90.00 90.00 90.00
With the nearest neighbours (Å) after each atom.
Element x y z (fractional)
Re (0.0000, 0.0000, 0.5000)  2 Nb 2.35
Re (0.5000, 0.0000, 0.0000)  2 Nb 2.35
Nb (0.0000, 0.0000, 0.0000)  2 Li 2.15, 4 Re 2.35
Li (0.0000, 0.5000, 0.0000)  2 Nb 2.15
V (0.5000, 0.5000, 0.5000)  8 Re 3.19, 4 Li 3.33

---

(4)
A plane-wave DFT calculation with GGA-PBE was carried out for crystalline LiNbZnRe2 at its relaxed geometry.

**E_tot**: -33.68 eV per cell
**E_form**: 895 meV/atom
**Space group**: P4/mmm (123)

Lattice parameters (Å, degrees): 4.3058 3.9170 4.3058 90.00 90.00 90.00
With the nearest neighbours (Å) after each atom.
Element x y z (fractional)
Re (0.0000, 0.0000, 0.5000)  2 Li 2.15
Re (0.5000, 0.0000, 0.0000)  2 Li 2.15
Nb (0.5000, 0.5000, 0.5000)  8 Re 2.91, 4 Zn 3.04
Zn (0.0000, 0.5000, 0.0000)  2 Li 1.96
Li (0.0000, 0.0000, 0.0000)  2 Zn 1.96, 4 Re 2.15

---

(5)
A plane-wave DFT calculation with GGA-PBE was carried out for crystalline LiZrNbRe at its relaxed geometry.

**E_tot**: -33.20 eV per cell
**E_form**: -54 meV/atom
**Space group**: F-43m (216)

Lattice parameters (Å, degrees): 4.5936 4.5936 4.5936 60.00 60.00 60.00
With the nearest neighbours (Å) after each atom.
Element x y z (fractional)
Re (0.2500, 0.2500, 0.2500)  4 Zr 2.81, 4 Nb 2.81
Nb (0.0000, 0.0000, 0.0000)  4 Re 2.81, 4 Li 2.81
Zr (0.5000, 0.5000, 0.5000)  4 Li 2.81, 4 Re 2.81
Li (0.7500, 0.7500, 0.7500)  4 Zr 2.81, 4 Nb 2.81

---

(6)
A plane-wave DFT calculation with GGA-PBE was carried out for crystalline LiNb5Rh6 at its relaxed geometry.

**E_tot**: -101.36 eV per cell
**E_form**: -416 meV/atom
**Space group**: Immm (71)

Lattice parameters (Å, degrees): 4.2186 7.4317 7.4315 111.72 106.49 106.49
With the nearest neighbours (Å) after each atom.
Element x y z (fractional)
Nb (0.4999, 0.1789, 0.8211)  8 Rh 2.69-2.71
Nb (0.0000, 0.3567, 0.6433)  8 Rh 2.70-2.88, 2 Nb 2.75
Nb (0.5000, 0.5000, 0.5000)  4 Nb 2.75, 8 Rh 2.83-2.94
Nb (0.0000, 0.6433, 0.3567)  8 Rh 2.70-2.88, 2 Nb 2.75
Nb (0.5001, 0.8211, 0.1789)  8 Rh 2.69-2.71
Rh (0.2304, 0.0629, 0.3979)  1 Li 2.64, 7 Nb 2.69-2.88, 4 Rh 2.94-2.95
Rh (0.7696, 0.6021, 0.9371)  1 Li 2.65, 7 Nb 2.69-2.88, 4 Rh 2.94-2.95
Rh (0.7150, 0.2150, 0.2149)  2 Li 2.62, 4 Nb 2.69-2.70
Rh (0.2850, 0.7850, 0.7851)  2 Li 2.62, 4 Nb 2.69-2.70
Rh (0.2304, 0.3979, 0.0629)  1 Li 2.65, 7 Nb 2.69-2.88, 4 Rh 2.94-2.95
Rh (0.7696, 0.9371, 0.6021)  1 Li 2.64, 7 Nb 2.69-2.88, 4 Rh 2.94-2.95
Li (0.0000, 0.0000, 0.0000)  8 Rh 2.62-2.65

---

(7)
A plane-wave DFT calculation with GGA-PBE was carried out for crystalline Li2NbRh at its relaxed geometry.

**E_tot**: -38.77 eV per cell
**E above lowest polymorph**: 153 meV/atom
**E_form**: 466 meV/atom
**Space group**: I-42d (122)

Lattice parameters (Å, degrees): 7.0311 7.0311 5.5584 50.77 50.77 90.00
With the nearest neighbours (Å) after each atom.
Element x y z (fractional)
Nb (0.5000, 0.5000, 0.0000)  2 Rh 2.49, 4 Li 2.70
Nb (0.2500, 0.7500, 0.5000)  2 Rh 2.49, 4 Li 2.70
Rh (0.0000, 0.0000, 0.0000)  4 Li 2.44, 2 Nb 2.49
Rh (0.7500, 0.2500, 0.5000)  4 Li 2.44, 2 Nb 2.49
Li (0.6518, 0.1250, 0.2500)  2 Rh 2.44, 2 Li 2.51, 2 Nb 2.70
Li (0.0982, 0.6250, 0.2500)  2 Rh 2.44, 2 Li 2.51, 2 Nb 2.70
Li (0.3750, 0.3482, 0.7500)  2 Rh 2.44, 2 Li 2.51, 2 Nb 2.70
Li (0.8750, 0.9018, 0.7500)  2 Rh 2.44, 2 Li 2.51, 2 Nb 2.70

---

(8)
A plane-wave DFT calculation with GGA-PBE was carried out for crystalline Li2NbRh at its relaxed geometry.

**E_tot**: -20.00 eV per cell
**E above lowest polymorph**: 0 meV/atom
**E_form**: 313 meV/atom
**Space group**: Fm-3m (225)

Lattice parameters (Å, degrees): 4.2531 4.2531 4.2531 60.00 60.00 60.00
With the nearest neighbours (Å) after each atom.
Element x y z (fractional)
Nb (0.0000, 0.0000, 0.0000)  8 Li 2.60
Rh (0.5000, 0.5000, 0.5000)  8 Li 2.60
Li (0.2500, 0.2500, 0.2500)  4 Rh 2.60, 4 Nb 2.60
Li (0.7500, 0.7500, 0.7500)  4 Nb 2.60, 4 Rh 2.60

---

(9)
A plane-wave DFT calculation with GGA-PBE was carried out for crystalline LiNb2Rh2 at its relaxed geometry.

**E_tot**: -75.38 eV per cell
**E above lowest polymorph**: 43 meV/atom
**E_form**: -187 meV/atom
**Space group**: P4/mbm (127)

Lattice parameters (Å, degrees): 7.8266 7.8266 2.8227 90.00 90.00 90.00
With the nearest neighbours (Å) after each atom.
Element x y z (fractional)
Nb (0.3498, 0.8498, 0.0000)  6 Rh 2.67-2.71, 2 Nb 2.82, 2 Li 2.98
Nb (0.8498, 0.6502, 0.0000)  6 Rh 2.67-2.71, 2 Nb 2.82, 2 Li 2.98
Nb (0.6502, 0.1502, 0.0000)  6 Rh 2.67-2.71, 2 Nb 2.82, 2 Li 2.98
Nb (0.1502, 0.3498, 0.0000)  6 Rh 2.67-2.71, 2 Nb 2.82, 2 Li 2.98
Rh (0.1451, 0.6451, 0.5000)  6 Nb 2.67-2.71, 2 Rh 2.82
Rh (0.6451, 0.8549, 0.5000)  6 Nb 2.67-2.71, 2 Rh 2.82
Rh (0.8549, 0.3549, 0.5000)  6 Nb 2.67-2.71, 2 Rh 2.82
Rh (0.3549, 0.1451, 0.5000)  6 Nb 2.67-2.71, 2 Rh 2.82
Li (0.0000, 0.0000, 0.0000)  2 Li 2.82, 4 Nb 2.98
Li (0.5000, 0.5000, 0.0000)  2 Li 2.82, 4 Nb 2.98

---

(10)
A plane-wave DFT calculation with GGA-PBE was carried out for crystalline LiNbRh2 at its relaxed geometry.

**E_tot**: -28.50 eV per cell
**E above lowest polymorph**: 0 meV/atom
**E_form**: -454 meV/atom
**Space group**: Fm-3m (225)

Lattice parameters (Å, degrees): 4.3490 4.3490 4.3490 60.00 60.00 60.00
With the nearest neighbours (Å) after each atom.
Element x y z (fractional)
Nb (0.5000, 0.5000, 0.5000)  8 Rh 2.66
Rh (0.2500, 0.2500, 0.2500)  4 Nb 2.66, 4 Li 2.66
Rh (0.7500, 0.7500, 0.7500)  4 Li 2.66, 4 Nb 2.66
Li (0.0000, 0.0000, 0.0000)  8 Rh 2.66

---

(11)
A plane-wave DFT calculation with GGA-PBE was carried out for crystalline LiNbRh3 at its relaxed geometry.

**E_tot**: -30.52 eV per cell
**E above lowest polymorph**: 743 meV/atom
**E_form**: 704 meV/atom
**Space group**: Pm-3m (221)

Lattice parameters (Å, degrees): 4.7499 4.7499 4.7499 90.00 90.00 90.00
With the nearest neighbours (Å) after each atom.
Element x y z (fractional)
Nb (0.0000, 0.0000, 0.0000)  6 Rh 2.37
Rh (0.0000, 0.5000, 0.0000)  2 Nb 2.37
Rh (0.0000, 0.0000, 0.5000)  2 Nb 2.37
Rh (0.5000, 0.0000, 0.0000)  2 Nb 2.37
Li (0.5000, 0.5000, 0.5000)  12 Rh 3.36

---

(12)
A plane-wave DFT calculation with GGA-PBE was carried out for crystalline Li3NbRh4 at its relaxed geometry.

**E_tot**: -95.05 eV per cell
**E_form**: -289 meV/atom
**Space group**: P4/mmm (123)

Lattice parameters (Å, degrees): 4.2472 5.9826 8.4965 90.00 90.00 90.00
With the nearest neighbours (Å) after each atom.
Element x y z (fractional)
Nb (0.0000, 0.5000, 0.0000)  8 Rh 2.63
Nb (0.0000, 0.5000, 0.5000)  8 Rh 2.63
Rh (0.5000, 0.7583, 0.0000)  6 Li 2.57-2.63, 2 Nb 2.63
Rh (0.5000, 0.7583, 0.5000)  6 Li 2.57-2.63, 2 Nb 2.63
Rh (0.5000, 0.2417, 0.0000)  6 Li 2.57-2.63, 2 Nb 2.63
Rh (0.5000, 0.2417, 0.5000)  6 Li 2.57-2.63, 2 Nb 2.63
Rh (0.0003, 0.7583, 0.7500)  6 Li 2.57-2.63, 2 Nb 2.63
Rh (0.9997, 0.7583, 0.2500)  6 Li 2.57-2.63, 2 Nb 2.63
Rh (0.9997, 0.2417, 0.2500)  6 Li 2.57-2.63, 2 Nb 2.63
Rh (0.0003, 0.2417, 0.7500)  6 Li 2.57-2.63, 2 Nb 2.63
Li (0.0000, 0.0000, 0.0000)  8 Rh 2.57
Li (0.0000, 0.0000, 0.5000)  8 Rh 2.57
Li (0.5003, 0.0000, 0.7500)  8 Rh 2.57
Li (0.4997, 0.0000, 0.2500)  8 Rh 2.57
Li (0.5003, 0.5000, 0.7500)  8 Rh 2.63
Li (0.4997, 0.5000, 0.2500)  8 Rh 2.63

---

(13)
A plane-wave DFT calculation with GGA-PBE was carried out for crystalline LiNbRh2 at its relaxed geometry.

**E_tot**: -28.38 eV per cell
**E above lowest polymorph**: 31 meV/atom
**E_form**: -423 meV/atom
**Space group**: P4/mmm (123)

Lattice parameters (Å, degrees): 3.1698 3.1698 5.8286 90.00 90.00 90.00
With the nearest neighbours (Å) after each atom.
Element x y z (fractional)
Nb (0.5000, 0.5000, 0.5000)  8 Rh 2.70, 2 Li 2.91
Rh (0.0000, 0.0000, 0.7569)  4 Li 2.65, 4 Nb 2.70, 1 Rh 2.83
Rh (0.0000, 0.0000, 0.2431)  4 Li 2.65, 4 Nb 2.70, 1 Rh 2.83
Li (0.5000, 0.5000, 0.0000)  8 Rh 2.65, 2 Nb 2.91

---

(14)
A plane-wave DFT calculation with GGA-PBE was carried out for crystalline Li5NbRh6 at its relaxed geometry.

**E_tot**: -66.08 eV per cell
**E_form**: -194 meV/atom
**Space group**: P2/m (10)

Lattice parameters (Å, degrees): 4.2239 5.9810 6.6000 90.00 108.39 90.00
With the nearest neighbours (Å) after each atom.
Element x y z (fractional)
Nb (0.0000, 0.0000, 0.0000)  8 Rh 2.61-2.62
Rh (0.8322, 0.7477, 0.6603)  7 Li 2.54-2.60, 1 Nb 2.61
Rh (0.8322, 0.2523, 0.6603)  7 Li 2.54-2.60, 1 Nb 2.61
Rh (0.5000, 0.2581, 0.0000)  6 Li 2.53-2.60, 2 Nb 2.62
Rh (0.5000, 0.7419, 0.0000)  6 Li 2.53-2.60, 2 Nb 2.62
Rh (0.1678, 0.7477, 0.3397)  7 Li 2.54-2.60, 1 Nb 2.61
Rh (0.1678, 0.2523, 0.3397)  7 Li 2.54-2.60, 1 Nb 2.61
Li (0.6631, 0.5000, 0.3313)  8 Rh 2.53-2.58
Li (0.3355, 0.0000, 0.6663)  8 Rh 2.54-2.60
Li (0.0000, 0.5000, 0.0000)  8 Rh 2.56-2.59
Li (0.6645, 0.0000, 0.3337)  8 Rh 2.54-2.60
Li (0.3369, 0.5000, 0.6687)  8 Rh 2.53-2.58

---

(15)
A plane-wave DFT calculation with GGA-PBE was carried out for crystalline LiNbRh3 at its relaxed geometry.

**E_tot**: -33.12 eV per cell
**E above lowest polymorph**: 223 meV/atom
**E_form**: 184 meV/atom
**Space group**: Pm-3m (221)

Lattice parameters (Å, degrees): 4.1290 4.1290 4.1290 90.00 90.00 90.00
With the nearest neighbours (Å) after each atom.
Element x y z (fractional)
Nb (0.5000, 0.5000, 0.5000)  12 Rh 2.92
Rh (0.0000, 0.5000, 0.0000)  2 Li 2.06
Rh (0.0000, 0.0000, 0.5000)  2 Li 2.06
Rh (0.5000, 0.0000, 0.0000)  2 Li 2.06
Li (0.0000, 0.0000, 0.0000)  6 Rh 2.06

---

(16)
A plane-wave DFT calculation with GGA-PBE was carried out for crystalline Li2Nb2Rh3 at its relaxed geometry.

**E_tot**: -48.02 eV per cell
**E_form**: -285 meV/atom
**Space group**: Cmmm (65)

Lattice parameters (Å, degrees): 2.9810 2.8975 12.9556 90.00 83.39 90.00
With the nearest neighbours (Å) after each atom.
Element x y z (fractional)
Li (0.7047, 0.5000, 0.5907)  4 Rh 2.64, 4 Li 2.77-2.90
Li (0.2953, 0.5000, 0.4093)  4 Rh 2.64, 4 Li 2.77-2.90
Nb (0.5737, 0.5000, 0.8525)  8 Rh 2.71-2.81, 4 Nb 2.90-2.98
Nb (0.4263, 0.5000, 0.1475)  8 Rh 2.71-2.81, 4 Nb 2.90-2.98
Rh (0.8585, 0.0000, 0.2829)  4 Li 2.64, 4 Nb 2.71, 2 Rh 2.90
Rh (0.0000, 0.0000, 0.0000)  8 Nb 2.81, 4 Rh 2.90-2.98
Rh (0.1415, 0.0000, 0.7171)  4 Li 2.64, 4 Nb 2.71, 2 Rh 2.90

---

(17)
A plane-wave DFT calculation with GGA-PBE was carried out for crystalline LiNb2Rh2 at its relaxed geometry.

**E_tot**: -75.81 eV per cell
**E above lowest polymorph**: 0 meV/atom
**E_form**: -230 meV/atom
**Space group**: P4/mbm (127)

Lattice parameters (Å, degrees): 7.7097 7.7097 2.8867 90.00 90.00 90.00
With the nearest neighbours (Å) after each atom.
Element x y z (fractional)
Nb (0.1581, 0.6581, 0.5000)  6 Rh 2.65-2.71, 2 Nb 2.89
Nb (0.6581, 0.8419, 0.5000)  6 Rh 2.65-2.71, 2 Nb 2.89
Nb (0.8419, 0.3419, 0.5000)  6 Rh 2.65-2.71, 2 Nb 2.89
Nb (0.3419, 0.1581, 0.5000)  6 Rh 2.65-2.71, 2 Nb 2.89
Rh (0.3617, 0.8617, 0.0000)  6 Nb 2.65-2.71, 2 Rh 2.89
Rh (0.8617, 0.6383, 0.0000)  6 Nb 2.65-2.71, 2 Rh 2.89
Rh (0.6383, 0.1383, 0.0000)  6 Nb 2.65-2.71, 2 Rh 2.89
Rh (0.1383, 0.3617, 0.0000)  6 Nb 2.65-2.71, 2 Rh 2.89
Li (0.0000, 0.0000, 0.0000)  2 Li 2.89, 4 Rh 2.99
Li (0.5000, 0.5000, 0.0000)  2 Li 2.89, 4 Rh 2.99

---

(18)
A plane-wave DFT calculation with GGA-PBE was carried out for crystalline LiNbRh2 at its relaxed geometry.

**E_tot**: -53.32 eV per cell
**E above lowest polymorph**: 461 meV/atom
**E_form**: 7 meV/atom
**Space group**: I-42d (122)

Lattice parameters (Å, degrees): 6.7097 6.7097 5.5320 52.67 52.67 90.00
With the nearest neighbours (Å) after each atom.
Element x y z (fractional)
Nb (0.0000, 0.0000, 0.0000)  4 Rh 2.47
Nb (0.7500, 0.2500, 0.5000)  4 Rh 2.47
Rh (0.6275, 0.1250, 0.2500)  2 Nb 2.47, 2 Li 2.49
Rh (0.1225, 0.6250, 0.2500)  2 Nb 2.47, 2 Li 2.49
Rh (0.3750, 0.3725, 0.7500)  2 Nb 2.47, 2 Li 2.49
Rh (0.8750, 0.8775, 0.7500)  2 Nb 2.47, 2 Li 2.49
Li (0.5000, 0.5000, 0.0000)  4 Rh 2.49
Li (0.2500, 0.7500, 0.5000)  4 Rh 2.49

---

(19)
A plane-wave DFT calculation with GGA-PBE was carried out for crystalline LiNbRh3 at its relaxed geometry.

**E_tot**: -68.47 eV per cell
**E above lowest polymorph**: 0 meV/atom
**E_form**: -39 meV/atom
**Space group**: P6_3/mmc (194)

Lattice parameters (Å, degrees): 4.3611 6.1458 6.1458 119.99 90.00 90.00
With the nearest neighbours (Å) after each atom.
Element x y z (fractional)
Li (0.0000, 0.0000, 0.0000)  2 Li 2.18, 6 Rh 2.28
Li (0.5000, 0.0000, 0.0000)  2 Li 2.18, 6 Rh 2.28
Nb (0.2500, 0.3334, 0.6666)  6 Rh 2.67
Nb (0.7500, 0.6666, 0.3334)  6 Rh 2.67
Rh (0.2500, 0.8115, 0.1885)  2 Li 2.28
Rh (0.7500, 0.1885, 0.8115)  2 Li 2.28
Rh (0.2500, 0.8115, 0.6231)  2 Li 2.28
Rh (0.7500, 0.1885, 0.3769)  2 Li 2.28
Rh (0.2500, 0.3769, 0.1885)  2 Li 2.28
Rh (0.7500, 0.6231, 0.8115)  2 Li 2.28

---

(20)
A plane-wave DFT calculation with GGA-PBE was carried out for crystalline LiNb2Rh7 at its relaxed geometry.

**E_tot**: -71.58 eV per cell
**E_form**: 194 meV/atom
**Space group**: Cmmm (65)

Lattice parameters (Å, degrees): 2.7302 8.6087 8.6088 124.45 90.00 90.00
With the nearest neighbours (Å) after each atom.
Element x y z (fractional)
Li (0.0000, 0.0000, 0.0000)  10 Rh 2.66-2.72, 2 Li 2.73
Nb (0.5000, 0.6727, 0.3273)  5 Rh 2.53-2.65, 2 Nb 2.73
Nb (0.5000, 0.3273, 0.6727)  5 Rh 2.53-2.65, 2 Nb 2.73
Rh (0.0000, 0.8215, 0.1785)  6 Rh 2.61-2.73, 2 Nb 2.65, 1 Li 2.72
Rh (0.0000, 0.1785, 0.8215)  6 Rh 2.61-2.73, 2 Nb 2.65, 1 Li 2.72
Rh (0.5000, 0.1313, 0.3170)  1 Nb 2.53, 5 Rh 2.61-2.73, 2 Li 2.66
Rh (0.5000, 0.8687, 0.6830)  1 Nb 2.53, 5 Rh 2.61-2.73, 2 Li 2.66
Rh (0.5000, 0.3170, 0.1313)  1 Nb 2.53, 5 Rh 2.61-2.73, 2 Li 2.66
Rh (0.5000, 0.6830, 0.8687)  1 Nb 2.53, 5 Rh 2.61-2.73, 2 Li 2.66
Rh (0.5000, 0.5000, 0.5000)  6 Rh 2.63-2.73, 2 Nb 2.63